# KRb2AgO | the Alexandria database | PBE | optimized geometry
# Space group = P4/mmm
# Formation energy (no corrections) = -0.55 eV/atom
data_KRb2AgO
_cell_length_a 5.689
_cell_length_b 5.689
_cell_length_c 5.372
_cell_angle_alpha 90.00
_cell_angle_beta 90.00
_cell_angle_gamma 90.00
_symmetry_space_group_name_H-M 'P 1'
_symmetry_Int_Tables_number 1
_symmetry_space_group_name_Hall 'P 1'
loop_
_atom_site_label
_atom_site_type_symbol
_atom_site_fract_x
_atom_site_fract_y
_atom_site_fract_z
O1 O 0.000 0.000 0.000
K1 K 0.000 0.000 0.500
Rb1 Rb 0.000 0.500 0.000
Rb2 Rb 0.500 0.000 0.000
Ag1 Ag 0.500 0.500 0.500

***

# CaZnRe2 | the Alexandria database | PBE | optimized geometry
# ΔH_f (0 K) = 0.17 eV/atom
# Space group = P4mm
data_CaZnRe2
_cell_length_a 3.142
_cell_length_b 3.133
_cell_length_c 8.027
_cell_angle_alpha 67.05
_cell_angle_beta 90.00
_cell_angle_gamma 90.00
_symmetry_space_group_name_H-M 'P 1'
_symmetry_Int_Tables_number 1
_symmetry_space_group_name_Hall 'P 1'
loop_
_atom_site_label
_atom_site_type_symbol
_atom_site_fract_x
_atom_site_fract_y
_atom_site_fract_z
Re1 Re 0.000 0.946 0.054
Re2 Re 0.500 0.264 0.236
Zn1 Zn 0.000 0.546 0.454
Ca1 Ca 0.500 0.744 0.756

***

# TiVOsRu | the Alexandria database | PBE | optimized geometry
# ΔH_f (0 K) = -0.47 eV/atom
# Space group = F-43m
data_TiVOsRu
_cell_length_a 4.316
_cell_length_b 4.316
_cell_length_c 4.316
_cell_angle_alpha 60.00
_cell_angle_beta 60.00
_cell_angle_gamma 60.00
_symmetry_space_group_name_H-M 'P 1'
_symmetry_Int_Tables_number 1
_symmetry_space_group_name_Hall 'P 1'
loop_
_atom_site_label
_atom_site_type_symbol
_atom_site_fract_x
_atom_site_fract_y
_atom_site_fract_z
Ru1 Ru 0.500 0.500 0.500
Ti1 Ti 0.250 0.250 0.250
Os1 Os 0.000 0.000 0.000
V1 V 0.750 0.750 0.750

***

# Ce2CdF | the Alexandria database | PBE | optimized geometry
# Space group = R-3m
# Formation energy (no corrections) = -0.89 eV/atom
data_Ce2CdF
_cell_length_a 3.146
_cell_length_b 3.146
_cell_length_c 10.774
_cell_angle_alpha 81.61
_cell_angle_beta 81.61
_cell_angle_gamma 60.00
_symmetry_space_group_name_H-M 'P 1'
_symmetry_Int_Tables_number 1
_symmetry_space_group_name_Hall 'P 1'
loop_
_atom_site_label
_atom_site_type_symbol
_atom_site_fract_x
_atom_site_fract_y
_atom_site_fract_z
F1 F 0.500 0.500 0.500
Ce1 Ce 0.104 0.104 0.687
Ce2 Ce 0.896 0.896 0.313
Cd1 Cd 0.000 0.000 0.000

***

# Pm2UGe4Rh3 | the Alexandria database | PBE | optimized geometry
# ΔH_f (0 K) = -0.64 eV/atom
# Space group = P-4m2
data_Pm2UGe4Rh3
_cell_length_a 4.222
_cell_length_b 4.222
_cell_length_c 11.382
_cell_angle_alpha 90.00
_cell_angle_beta 90.00
_cell_angle_gamma 90.00
_symmetry_space_group_name_H-M 'P 1'
_symmetry_Int_Tables_number 1
_symmetry_space_group_name_Hall 'P 1'
loop_
_atom_site_label
_atom_site_type_symbol
_atom_site_fract_x
_atom_site_fract_y
_atom_site_fract_z
Pm1 Pm 0.500 0.000 0.228
Pm2 Pm 0.000 0.500 0.772
U1 U 0.500 0.500 0.500
Ge1 Ge 0.500 0.500 0.000
Ge2 Ge 0.000 0.000 0.000
Ge3 Ge 0.500 0.000 0.673
Ge4 Ge 0.000 0.500 0.327
Rh1 Rh 0.000 0.000 0.500
Rh2 Rh 0.500 0.000 0.886
Rh3 Rh 0.000 0.500 0.114

***

# SmHoLuSn | the Alexandria database | PBE | optimized geometry
# ΔH_f (0 K) = -0.24 eV/atom
# Space group = F-43m
data_SmHoLuSn
_cell_length_a 5.399
_cell_length_b 5.399
_cell_length_c 5.399
_cell_angle_alpha 60.00
_cell_angle_beta 60.00
_cell_angle_gamma 60.00
_symmetry_space_group_name_H-M 'P 1'
_symmetry_Int_Tables_number 1
_symmetry_space_group_name_Hall 'P 1'
loop_
_atom_site_label
_atom_site_type_symbol
_atom_site_fract_x
_atom_site_fract_y
_atom_site_fract_z
Lu1 Lu 0.750 0.750 0.750
Ho1 Ho 0.000 0.000 0.000
Sm1 Sm 0.500 0.500 0.500
Sn1 Sn 0.250 0.250 0.250

***

# CrPdI2N | the Alexandria database | PBE | optimized geometry
# Space group = P4/mmm
# Formation energy (no corrections) = 0.81 eV/atom
data_CrPdI2N
_cell_length_a 5.739
_cell_length_b 5.739
_cell_length_c 3.769
_cell_angle_alpha 90.00
_cell_angle_beta 90.00
_cell_angle_gamma 90.00
_symmetry_space_group_name_H-M 'P 1'
_symmetry_Int_Tables_number 1
_symmetry_space_group_name_Hall 'P 1'
loop_
_atom_site_label
_atom_site_type_symbol
_atom_site_fract_x
_atom_site_fract_y
_atom_site_fract_z
I1 I 0.000 0.500 0.000
I2 I 0.500 0.000 0.000
Cr1 Cr 0.500 0.500 0.500
Pd1 Pd 0.000 0.000 0.000
N1 N 0.000 0.000 0.500

***

# KCeCdCl6 | the Alexandria database | PBE | optimized geometry
# Space group = P-31c
# Formation energy (no corrections) = -1.79 eV/atom
data_KCeCdCl6
_cell_length_a 7.090
_cell_length_b 7.090
_cell_length_c 13.695
_cell_angle_alpha 90.00
_cell_angle_beta 90.00
_cell_angle_gamma 120.00
_symmetry_space_group_name_H-M 'P 1'
_symmetry_Int_Tables_number 1
_symmetry_space_group_name_Hall 'P 1'
loop_
_atom_site_label
_atom_site_type_symbol
_atom_site_fract_x
_atom_site_fract_y
_atom_site_fract_z
K1 K 0.000 0.000 0.000
K2 K 0.000 0.000 0.500
Ce1 Ce 0.333 0.667 0.250
Ce2 Ce 0.667 0.333 0.750
Cd1 Cd 0.667 0.333 0.250
Cd2 Cd 0.333 0.667 0.750
Cl1 Cl 0.638 0.627 0.138
Cl2 Cl 0.989 0.362 0.138
Cl3 Cl 0.362 0.989 0.638
Cl4 Cl 0.011 0.638 0.862
Cl5 Cl 0.373 0.362 0.362
Cl6 Cl 0.989 0.627 0.362
Cl7 Cl 0.627 0.989 0.862
Cl8 Cl 0.638 0.011 0.362
Cl9 Cl 0.011 0.373 0.638
Cl10 Cl 0.373 0.011 0.138
Cl11 Cl 0.627 0.638 0.638
Cl12 Cl 0.362 0.373 0.862

***

# HfTi2Se5 | the Alexandria database | PBE | optimized geometry
# Space group = Cmcm
# Formation energy (no corrections) = -1.08 eV/atom
data_HfTi2Se5
_cell_length_a 5.088
_cell_length_b 6.687
_cell_length_c 12.415
_cell_angle_alpha 90.00
_cell_angle_beta 90.00
_cell_angle_gamma 112.36
_symmetry_space_group_name_H-M 'P 1'
_symmetry_Int_Tables_number 1
_symmetry_space_group_name_Hall 'P 1'
loop_
_atom_site_label
_atom_site_type_symbol
_atom_site_fract_x
_atom_site_fract_y
_atom_site_fract_z
Hf1 Hf 0.801 0.601 0.750
Hf2 Hf 0.199 0.399 0.250
Ti1 Ti 0.833 0.666 0.463
Ti2 Ti 0.833 0.666 0.037
Ti3 Ti 0.167 0.334 0.537
Ti4 Ti 0.167 0.334 0.963
Se1 Se 0.959 0.917 0.883
Se2 Se 0.959 0.917 0.617
Se3 Se 0.339 0.678 0.423
Se4 Se 0.339 0.678 0.077
Se5 Se 0.765 0.530 0.250
Se6 Se 0.235 0.470 0.750
Se7 Se 0.661 0.322 0.577
Se8 Se 0.661 0.322 0.923
Se9 Se 0.041 0.083 0.117
Se10 Se 0.041 0.083 0.383

***

# Tm2Zr2Rh3 | the Alexandria database | PBE | optimized geometry
# ΔH_f (0 K) = -0.75 eV/atom
# Space group = C2/m
data_Tm2Zr2Rh3
_cell_length_a 4.621
_cell_length_b 4.632
_cell_length_c 8.339
_cell_angle_alpha 90.12
_cell_angle_beta 106.08
_cell_angle_gamma 119.96
_symmetry_space_group_name_H-M 'P 1'
_symmetry_Int_Tables_number 1
_symmetry_space_group_name_Hall 'P 1'
loop_
_atom_site_label
_atom_site_type_symbol
_atom_site_fract_x
_atom_site_fract_y
_atom_site_fract_z
Tm1 Tm 0.251 0.125 0.376
Tm2 Tm 0.749 0.875 0.624
Zr1 Zr 0.752 0.376 0.128
Zr2 Zr 0.248 0.624 0.872
Rh1 Rh 0.000 0.000 0.000
Rh2 Rh 0.514 0.257 0.771
Rh3 Rh 0.486 0.743 0.229

***

# CaSm14Sc | the Alexandria database | PBE | optimized geometry
# ΔH_f (0 K) = 0.08 eV/atom
# Space group = Amm2
data_CaSm14Sc
_cell_length_a 7.016
_cell_length_b 7.016
_cell_length_c 11.062
_cell_angle_alpha 90.00
_cell_angle_beta 90.00
_cell_angle_gamma 101.13
_symmetry_space_group_name_H-M 'P 1'
_symmetry_Int_Tables_number 1
_symmetry_space_group_name_Hall 'P 1'
loop_
_atom_site_label
_atom_site_type_symbol
_atom_site_fract_x
_atom_site_fract_y
_atom_site_fract_z
Ca1 Ca 0.672 0.328 0.500
Sm1 Sm 0.135 0.865 0.000
Sm2 Sm 0.556 0.444 0.000
Sm3 Sm 0.185 0.390 0.500
Sm4 Sm 0.057 0.352 0.000
Sm5 Sm 0.610 0.815 0.500
Sm6 Sm 0.648 0.943 0.000
Sm7 Sm 0.403 0.156 0.755
Sm8 Sm 0.403 0.156 0.245
Sm9 Sm 0.844 0.597 0.755
Sm10 Sm 0.844 0.597 0.245
Sm11 Sm 0.345 0.655 0.761
Sm12 Sm 0.345 0.655 0.239
Sm13 Sm 0.914 0.086 0.729
Sm14 Sm 0.914 0.086 0.271
Sc1 Sc 0.125 0.875 0.500

***

# Sn2HgC2 | the Alexandria database | PBE | optimized geometry
# ΔH_f (0 K) = 1.50 eV/atom
# Space group = P4/mbm
data_Sn2HgC2
_cell_length_a 7.379
_cell_length_b 7.379
_cell_length_c 3.547
_cell_angle_alpha 90.00
_cell_angle_beta 90.00
_cell_angle_gamma 90.00
_symmetry_space_group_name_H-M 'P 1'
_symmetry_Int_Tables_number 1
_symmetry_space_group_name_Hall 'P 1'
loop_
_atom_site_label
_atom_site_type_symbol
_atom_site_fract_x
_atom_site_fract_y
_atom_site_fract_z
C1 C 0.255 0.755 0.000
C2 C 0.755 0.745 0.000
C3 C 0.745 0.245 0.000
C4 C 0.245 0.255 0.000
Hg1 Hg 0.000 0.000 0.000
Hg2 Hg 0.500 0.500 0.000
Sn1 Sn 0.137 0.637 0.500
Sn2 Sn 0.637 0.863 0.500
Sn3 Sn 0.863 0.363 0.500
Sn4 Sn 0.363 0.137 0.500

***

# PuInHg | the Alexandria database | PBE | optimized geometry
# ΔH_f (0 K) = -0.18 eV/atom
# Space group = P-6m2
data_PuInHg
_cell_length_a 3.261
_cell_length_b 5.130
_cell_length_c 5.130
_cell_angle_alpha 120.00
_cell_angle_beta 90.00
_cell_angle_gamma 90.00
_symmetry_space_group_name_H-M 'P 1'
_symmetry_Int_Tables_number 1
_symmetry_space_group_name_Hall 'P 1'
loop_
_atom_site_label
_atom_site_type_symbol
_atom_site_fract_x
_atom_site_fract_y
_atom_site_fract_z
In1 In 0.166 0.333 0.667
Hg1 Hg 0.167 0.000 0.000
Pu1 Pu 0.667 0.667 0.333

***

# LaSm4Th | the Alexandria database | PBE | optimized geometry
# ΔH_f (0 K) = 0.24 eV/atom
# Space group = Cmcm
data_LaSm4Th
_cell_length_a 6.612
_cell_length_b 6.612
_cell_length_c 10.944
_cell_angle_alpha 90.00
_cell_angle_beta 90.00
_cell_angle_gamma 120.93
_symmetry_space_group_name_H-M 'P 1'
_symmetry_Int_Tables_number 1
_symmetry_space_group_name_Hall 'P 1'
loop_
_atom_site_label
_atom_site_type_symbol
_atom_site_fract_x
_atom_site_fract_y
_atom_site_fract_z
La1 La 0.178 0.822 0.750
La2 La 0.822 0.178 0.250
Sm1 Sm 0.663 0.337 0.937
Sm2 Sm 0.337 0.663 0.437
Sm3 Sm 0.337 0.663 0.063
Sm4 Sm 0.663 0.337 0.563
Sm5 Sm 0.338 0.176 0.250
Sm6 Sm 0.662 0.824 0.750
Sm7 Sm 0.176 0.338 0.750
Sm8 Sm 0.824 0.662 0.250
Th1 Th 0.000 0.000 0.000
Th2 Th 0.000 0.000 0.500

***

# NdSm4Er10 | the Alexandria database | PBE | optimized geometry
# ΔH_f (0 K) = 0.57 eV/atom
# Space group = I4/m
data_NdSm4Er10
_cell_length_a 6.444
_cell_length_b 9.652
_cell_length_c 9.652
_cell_angle_alpha 83.60
_cell_angle_beta 70.50
_cell_angle_gamma 70.50
_symmetry_space_group_name_H-M 'P 1'
_symmetry_Int_Tables_number 1
_symmetry_space_group_name_Hall 'P 1'
loop_
_atom_site_label
_atom_site_type_symbol
_atom_site_fract_x
_atom_site_fract_y
_atom_site_fract_z
Nd1 Nd 0.000 0.000 0.000
Sm1 Sm 0.432 0.896 0.239
Sm2 Sm 0.672 0.761 0.896
Sm3 Sm 0.328 0.239 0.104
Sm4 Sm 0.568 0.104 0.761
Er1 Er 0.250 0.500 0.500
Er2 Er 0.621 0.423 0.837
Er3 Er 0.956 0.163 0.423
Er4 Er 0.543 0.837 0.577
Er5 Er 0.880 0.577 0.163
Er6 Er 0.379 0.577 0.163
Er7 Er 0.750 0.500 0.500
Er8 Er 0.120 0.423 0.837
Er9 Er 0.457 0.163 0.423
Er10 Er 0.044 0.837 0.577

***

# LuThScPa | the Alexandria database | PBE | optimized geometry
# ΔH_f (0 K) = 0.32 eV/atom
# Space group = F-43m
data_LuThScPa
_cell_length_a 5.413
_cell_length_b 5.413
_cell_length_c 5.413
_cell_angle_alpha 60.00
_cell_angle_beta 60.00
_cell_angle_gamma 60.00
_symmetry_space_group_name_H-M 'P 1'
_symmetry_Int_Tables_number 1
_symmetry_space_group_name_Hall 'P 1'
loop_
_atom_site_label
_atom_site_type_symbol
_atom_site_fract_x
_atom_site_fract_y
_atom_site_fract_z
Sc1 Sc 0.000 0.000 0.000
Pa1 Pa 0.750 0.750 0.750
Lu1 Lu 0.250 0.250 0.250
Th1 Th 0.500 0.500 0.500

***

# As2PtC | the Alexandria database | PBE | optimized geometry
# ΔH_f (0 K) = 0.41 eV/atom
# Space group = I-42d
data_As2PtC
_cell_length_a 5.428
_cell_length_b 5.428
_cell_length_c 5.966
_cell_angle_alpha 62.94
_cell_angle_beta 62.94
_cell_angle_gamma 90.00
_symmetry_space_group_name_H-M 'P 1'
_symmetry_Int_Tables_number 1
_symmetry_space_group_name_Hall 'P 1'
loop_
_atom_site_label
_atom_site_type_symbol
_atom_site_fract_x
_atom_site_fract_y
_atom_site_fract_z
As1 As 0.569 0.125 0.250
As2 As 0.181 0.625 0.250
As3 As 0.375 0.431 0.750
As4 As 0.875 0.819 0.750
C1 C 0.500 0.500 0.000
C2 C 0.250 0.750 0.500
Pt1 Pt 0.000 0.000 0.000
Pt2 Pt 0.750 0.250 0.500

***

# LiLa3P2N6 | the Alexandria database | PBE | optimized geometry
# Space group = P-3m1
# Formation energy (no corrections) = -0.98 eV/atom
data_LiLa3P2N6
_cell_length_a 5.674
_cell_length_b 5.674
_cell_length_c 6.299
_cell_angle_alpha 90.00
_cell_angle_beta 90.00
_cell_angle_gamma 120.00
_symmetry_space_group_name_H-M 'P 1'
_symmetry_Int_Tables_number 1
_symmetry_space_group_name_Hall 'P 1'
loop_
_atom_site_label
_atom_site_type_symbol
_atom_site_fract_x
_atom_site_fract_y
_atom_site_fract_z
Li1 Li 0.000 0.000 0.500
La1 La 0.333 0.667 0.652
La2 La 0.667 0.333 0.348
La3 La 0.000 0.000 0.000
P1 P 0.667 0.333 0.798
P2 P 0.333 0.667 0.202
N1 N 0.647 0.823 0.288
N2 N 0.177 0.353 0.288
N3 N 0.177 0.823 0.288
N4 N 0.823 0.647 0.712
N5 N 0.353 0.177 0.712
N6 N 0.823 0.177 0.712

***

# Y3BeNi | the Alexandria database | PBE | optimized geometry
# ΔH_f (0 K) = 0.31 eV/atom
# Space group = Pm-3m
data_Y3BeNi
_cell_length_a 5.163
_cell_length_b 5.163
_cell_length_c 5.163
_cell_angle_alpha 90.00
_cell_angle_beta 90.00
_cell_angle_gamma 90.00
_symmetry_space_group_name_H-M 'P 1'
_symmetry_Int_Tables_number 1
_symmetry_space_group_name_Hall 'P 1'
loop_
_atom_site_label
_atom_site_type_symbol
_atom_site_fract_x
_atom_site_fract_y
_atom_site_fract_z
Y1 Y 0.000 0.500 0.000
Y2 Y 0.000 0.000 0.500
Y3 Y 0.500 0.000 0.000
Ni1 Ni 0.000 0.000 0.000
Be1 Be 0.500 0.500 0.500

***

# PrMgSi | the Alexandria database | PBE | optimized geometry
# Space group = P4/nmm
# Formation energy (no corrections) = -0.49 eV/atom
data_PrMgSi
_cell_length_a 4.310
_cell_length_b 4.310
_cell_length_c 7.639
_cell_angle_alpha 90.00
_cell_angle_beta 90.01
_cell_angle_gamma 90.00
_symmetry_space_group_name_H-M 'P 1'
_symmetry_Int_Tables_number 1
_symmetry_space_group_name_Hall 'P 1'
loop_
_atom_site_label
_atom_site_type_symbol
_atom_site_fract_x
_atom_site_fract_y
_atom_site_fract_z
Pr1 Pr 0.250 0.250 0.352
Pr2 Pr 0.750 0.750 0.648
Si1 Si 0.250 0.250 0.766
Si2 Si 0.750 0.750 0.234
Mg1 Mg 0.750 0.250 0.000
Mg2 Mg 0.250 0.750 0.000